VASP calculation (PBE-GGA) on a relaxed Nd3Y2Er6Pu crystal.

Cell: 6.1595 6.1595 11.6915 Å, 95.04 95.04 120.00°
Positions (direct):
1 Nd 0.0000 0.0000 0.0000
2 Nd 0.3327 0.6673 0.0000
3 Nd 0.6673 0.3327 0.0000
4 Y 0.1666 0.8334 0.5000
5 Y 0.8334 0.1666 0.5000
6 Er 0.0902 0.4186 0.2546
7 Er 0.2529 0.2529 0.7456
8 Er 0.4186 0.0902 0.2546
9 Er 0.5814 0.9098 0.7454
10 Er 0.7471 0.7471 0.2544
11 Er 0.9098 0.5814 0.7454
12 Pu 0.5000 0.5000 0.5000

## Properties
space group	C2/m (12)
formation energy	46.5	meV per atom


VASP calculation (PBE-GGA) on a relaxed TiCd2PN crystal.

Cell: 5.4990 5.4990 3.6905 Å, 90.00 90.00 90.00°
Positions (direct):
1 Ti 0.0000 0.0000 0.0000
2 Cd 0.0000 0.5000 0.0000
3 Cd 0.5000 0.0000 0.0000
4 P 0.5000 0.5000 0.5000
5 N 0.0000 0.0000 0.5000

## Properties
E_form (uncorrected)	3.3	eV/f.u.
space group	P4/mmm (123)


VASP calculation (PBE-GGA) on a relaxed In2Au crystal.

Cell: 6.7363 6.7363 6.7025 Å, 90.01 90.01 28.52°
Positions (direct):
1 In 0.0000 0.0000 0.0000
2 In 0.2489 0.2489 0.7781
3 In 0.3393 0.3393 0.2788
4 In 0.5883 0.5883 0.4991
5 Au 0.6762 0.6762 0.1129
6 Au 0.9124 0.9124 0.6136

## Properties
space group	Cm (8)
formation energy	-119.6	meV per atom


VASP calculation (PBE-GGA) on a relaxed CoCu3S crystal.

Cell: 4.4005 4.4005 4.4005 Å, 90.00 90.00 90.00°
Positions (direct):
1 Co 0.0000 0.0000 0.0000
2 Cu 0.0000 0.0000 0.5000
3 Cu 0.0000 0.5000 0.0000
4 Cu 0.5000 0.0000 0.0000
5 S 0.5000 0.5000 0.5000

## Properties
E_form (uncorrected)	5.5	eV/f.u.
space group	Pm-3m (221)


VASP calculation (PBE-GGA) on a relaxed TbEr5Te6 crystal.

Cell: 7.4979 7.4979 7.4862 Å, 99.59 99.59 120.07°
Positions (direct):
1 Tb 0.0000 0.0000 0.0000
2 Er 0.1612 0.8388 0.5000
3 Er 0.3338 0.6662 0.0000
4 Er 0.5000 0.5000 0.5000
5 Er 0.6662 0.3338 0.0000
6 Er 0.8388 0.1612 0.5000
7 Te 0.0840 0.4223 0.2532
8 Te 0.2549 0.2549 0.7515
9 Te 0.4223 0.0840 0.2532
10 Te 0.5777 0.9160 0.7468
11 Te 0.7451 0.7451 0.2485
12 Te 0.9160 0.5777 0.7468

## Properties
E_form (uncorrected)	-14.7	eV/f.u.
space group	C2/m (12)


VASP calculation (PBE-GGA) on a relaxed Tb3Tm2Th crystal.

Cell: 8.8211 8.8211 8.8211 Å, 103.02 93.74 135.19°
Positions (direct):
1 Tb 0.0170 0.7500 0.2670
2 Tb 0.2500 0.2500 0.0000
3 Tb 0.4830 0.7500 0.7330
4 Tb 0.5170 0.2500 0.2670
5 Tb 0.7500 0.7500 0.0000
6 Tb 0.9830 0.2500 0.7330
7 Tm 0.1811 0.2421 0.4232
8 Tm 0.3189 0.7421 0.0610
9 Tm 0.6811 0.2579 0.9390
10 Tm 0.8189 0.7579 0.5768
11 Th 0.0000 0.5000 0.5000
12 Th 0.5000 0.0000 0.5000

## Properties
space group	Ibam (72)
formation energy	624.2	meV per atom


VASP calculation (PBE-GGA) on a relaxed ZnOsRu2 crystal.

Cell: 5.1094 5.1094 5.1094 Å, 146.96 128.82 62.28°
Positions (direct):
1 Zn 0.0000 0.0000 0.0000
2 Os 0.2420 0.7420 0.5000
3 Ru 0.4968 0.4968 0.0000
4 Ru 0.7613 0.2613 0.5000

## Properties
space group	Imm2 (44)
formation energy	254.1	meV per atom


VASP calculation (PBE-GGA) on a relaxed Pm4Ho3Mg crystal.

Cell: 3.6156 3.6156 19.4696 Å, 90.00 90.00 90.00°
Positions (direct):
1 Pm 0.0000 0.0000 0.1140
2 Pm 0.0000 0.0000 0.3715
3 Pm 0.0000 0.0000 0.6285
4 Pm 0.0000 0.0000 0.8860
5 Ho 0.5000 0.5000 0.2418
6 Ho 0.5000 0.5000 0.5000
7 Ho 0.5000 0.5000 0.7582
8 Mg 0.5000 0.5000 0.0000

## Properties
space group	P4/mmm (123)
formation energy	-7.3	meV per atom


VASP calculation (PBE-GGA) on a relaxed CaSiTc crystal.

Cell: 8.1196 8.1196 8.1196 Å, 151.15 41.02 151.47°
Positions (direct):
1 Ca 0.1685 0.0000 0.1685
2 Ca 0.8315 0.0000 0.8315
3 Si 0.4221 0.0258 0.3963
4 Si 0.6294 0.0258 0.6037
5 Tc 0.0286 0.5286 0.5000
6 Tc 0.3986 0.3986 0.0000

## Properties
E_form (uncorrected)	-1.0	eV/f.u.
space group	Imm2 (44)


no.,Fermi-level density of states (states/eV/atom),density (g cm⁻³)
1,1.88,8.16
2,0.74,4.73
3,0.39,9.76
4,0.74,5.49
5,0.47,8.52
6,1.89,7.81
7,1.01,13.55
8,1.31,7.17
9,0.62,4.48